Compound: PmSm3Sc3
Source: the Alexandria database
Functional: PBE
Structure: optimized geometry

## Properties
Its distance to the lowest polymorph of the same formula is 0 meV/atom. For the total magnetization, the calculation gives 0.000 μB per atom.

Geometry as CIF:
```
data_PmSm3Sc3
_chemical_formula_sum 'Pm2 Sm6 Sc6'
_cell_length_a 8.590
_cell_length_b 8.590
_cell_length_c 8.590
_cell_angle_alpha 58.62
_cell_angle_beta 58.62
_cell_angle_gamma 58.62
_space_group_name_H-M_alt 'P 1'
_space_group_IT_number 1
loop_
_space_group_symop_operation_xyz
'x,y,z'
loop_
_atom_site_label
_atom_site_fract_x
_atom_site_fract_y
_atom_site_fract_z
Sm1 0.568 0.071 0.717
Sc1 0.275 0.833 0.061
Sc2 0.725 0.167 0.939
Sc3 0.833 0.061 0.275
Sc4 0.939 0.725 0.167
Sc5 0.061 0.275 0.833
Pm1 0.346 0.346 0.346
Sm2 0.283 0.432 0.929
Sm3 0.071 0.717 0.568
Pm2 0.654 0.654 0.654
Sm4 0.717 0.568 0.071
Sm5 0.432 0.929 0.283
Sm6 0.929 0.283 0.432
Sc6 0.167 0.939 0.725
```

***

Compound: Pm3Sm4Sc4
Source: the Alexandria database
Functional: PBE
Structure: optimized geometry

## Properties
For the total magnetization, the calculation gives 0.000 μB per atom.

Geometry as CIF:
```
data_Pm3Sm4Sc4
_chemical_formula_sum 'Pm3 Sm4 Sc4'
_cell_length_a 5.553
_cell_length_b 6.529
_cell_length_c 10.399
_cell_angle_alpha 90.00
_cell_angle_beta 90.00
_cell_angle_gamma 115.17
_space_group_name_H-M_alt 'P 1'
_space_group_IT_number 1
loop_
_space_group_symop_operation_xyz
'x,y,z'
loop_
_atom_site_label
_atom_site_fract_x
_atom_site_fract_y
_atom_site_fract_z
Sm1 0.557 0.113 0.000
Pm1 0.395 0.789 0.690
Sm2 0.636 0.271 0.500
Sc1 0.945 0.890 0.000
Sm3 0.093 0.187 0.277
Pm2 0.395 0.789 0.310
Sc2 0.765 0.530 0.785
Sc3 0.897 0.795 0.500
Sm4 0.093 0.187 0.723
Pm3 0.258 0.516 0.000
Sc4 0.765 0.530 0.215
```

***

Compound: Pm3Sm3Sc
Source: the Alexandria database
Functional: PBE
Structure: optimized geometry

## Properties
Its distance to the lowest polymorph of the same formula is 0 meV/atom. For the total magnetization, the calculation gives 0.000 μB per atom.

Geometry as CIF:
```
data_Pm3Sm3Sc
_chemical_formula_sum 'Pm6 Sm6 Sc2'
_cell_length_a 5.753
_cell_length_b 9.615
_cell_length_c 9.615
_cell_angle_alpha 120.00
_cell_angle_beta 90.00
_cell_angle_gamma 90.00
_space_group_name_H-M_alt 'P 1'
_space_group_IT_number 1
loop_
_space_group_symop_operation_xyz
'x,y,z'
loop_
_atom_site_label
_atom_site_fract_x
_atom_site_fract_y
_atom_site_fract_z
Sc1 0.250 0.667 0.333
Pm1 0.250 0.097 0.479
Pm2 0.750 0.479 0.382
Sm1 0.250 0.809 0.051
Sm2 0.750 0.051 0.243
Sm3 0.750 0.191 0.949
Pm3 0.750 0.903 0.521
Sm4 0.250 0.243 0.191
Pm4 0.250 0.382 0.903
Sc2 0.750 0.333 0.667
Sm5 0.250 0.949 0.757
Sm6 0.750 0.757 0.809
Pm5 0.250 0.521 0.618
Pm6 0.750 0.618 0.097
```

***

Formation enthalpy at 0 K in kcal/mol of atoms, matching the order above: 4.20; 3.27; 0.91